# 1
VASP calculation (PBE) on an optimized crystal structure of Ba2NbTl.

POSCAR file:
```
Ba2NbTl
1.0
9.369 0.000 0.000
0.000 9.369 0.000
4.685 4.685 3.300
Ba Tl Nb
4 2 2
Direct
0.375 0.396 0.750 Ba
0.604 0.125 0.250 Ba
0.875 0.854 0.750 Ba
0.146 0.625 0.250 Ba
0.750 0.250 0.500 Tl
0.000 0.000 0.000 Tl
0.250 0.750 0.500 Nb
0.500 0.500 0.000 Nb
```

space-group type: No. 122
offset from the most stable computed form: 218 meV/atom
formation energy from the elements: 3.0 eV/f.u.

# 2
VASP calculation (PBE) on an optimized crystal structure of Pa2TeRhS4.

POSCAR file:
```
Pa2TeRhS4
1.0
-1.865 -3.411 -0.540
3.370 -3.628 -2.991
3.448 -5.150 6.357
S Rh Pa Te
4 1 2 1
Direct
0.167 0.935 0.730 S
0.385 0.299 0.932 S
0.833 0.065 0.270 S
0.615 0.701 0.068 S
0.000 0.000 0.000 Rh
0.184 0.410 0.222 Pa
0.816 0.590 0.778 Pa
0.500 0.500 0.500 Te
```

space-group type: No. 12
formation energy (no corrections): -1.130 eV per atom

# 3
VASP calculation (PBE) on an optimized crystal structure of KLi2CdCu.

POSCAR file:
```
KLi2CdCu
1.0
-1.687 -1.768 -4.960
-4.230 -3.322 2.623
-3.529 4.246 -0.314
Li Cu Cd K
2 1 1 1
Direct
0.500 0.000 0.000 Li
0.000 0.000 0.500 Li
0.500 0.500 0.500 Cu
0.000 0.500 0.000 Cd
0.000 0.000 0.000 K
```

space-group type: No. 123
offset from the most stable computed form: 952 meV/atom
formation energy from the elements: 5.1 eV/f.u.

# 4
VASP calculation (PBE) on an optimized crystal structure of Be2AlRe.

POSCAR file:
```
Be2AlRe
1.0
4.076 0.000 0.000
2.038 3.530 0.000
2.038 1.177 3.328
Be Al Re
2 1 1
Direct
0.250 0.250 0.250 Be
0.000 0.000 0.000 Be
0.500 0.500 0.500 Al
0.750 0.750 0.750 Re
```

space-group type: No. 216
formation energy from the elements: 0.8 eV/f.u.

# 5
VASP calculation (PBE) on an optimized crystal structure of Ce8Th6Sc.

POSCAR file:
```
Ce8Th6Sc
1.0
7.524 0.000 4.333
2.514 7.091 4.333
0.186 0.131 8.377
Ce Th Sc
8 6 1
Direct
0.107 0.676 0.421 Ce
0.893 0.324 0.579 Ce
0.796 0.107 0.421 Ce
0.567 0.567 0.298 Ce
0.324 0.204 0.579 Ce
0.204 0.893 0.579 Ce
0.676 0.796 0.421 Ce
0.433 0.433 0.702 Ce
0.457 0.744 0.874 Th
0.256 0.074 0.126 Th
0.744 0.926 0.874 Th
0.543 0.256 0.126 Th
0.074 0.543 0.126 Th
0.926 0.457 0.874 Th
0.000 0.000 0.000 Sc
```

space-group type: No. 148
formation energy from the elements: 2.0 eV/f.u.

# 6
VASP calculation (PBE) on an optimized crystal structure of Cs2PaCoSe4.

POSCAR file:
```
Cs2PaCoSe4
1.0
6.271 0.000 0.000
3.135 7.569 0.000
3.135 0.000 13.495
Se Pa Cs Co
8 2 4 2
Direct
0.422 0.694 0.398 Se
0.570 0.194 0.102 Se
0.884 0.694 0.602 Se
0.514 0.306 0.602 Se
0.866 0.806 0.898 Se
0.180 0.306 0.398 Se
0.328 0.806 0.102 Se
0.236 0.194 0.898 Se
0.000 0.000 0.000 Pa
0.750 0.500 0.500 Pa
0.929 0.500 0.143 Cs
0.179 0.000 0.643 Cs
0.821 0.000 0.357 Cs
0.571 0.500 0.857 Cs
0.500 0.000 0.000 Co
0.250 0.500 0.500 Co
```

space-group type: No. 70
formation energy (no corrections): -0.924 eV per atom

# 7
VASP calculation (PBE) on an optimized crystal structure of SmScSi4.

POSCAR file:
```
SmScSi4
1.0
3.896 0.000 0.000
0.000 8.108 0.000
0.000 0.000 14.507
Si Sc Sm
16 4 4
Direct
0.500 0.202 0.804 Si
0.500 0.510 0.201 Si
0.500 0.879 0.447 Si
0.500 0.298 0.304 Si
0.500 0.873 0.038 Si
0.500 0.702 0.696 Si
0.500 0.373 0.462 Si
0.500 0.627 0.538 Si
0.500 0.990 0.701 Si
0.500 0.127 0.962 Si
0.500 0.621 0.947 Si
0.500 0.121 0.553 Si
0.500 0.010 0.299 Si
0.500 0.379 0.053 Si
0.500 0.798 0.196 Si
0.500 0.490 0.799 Si
0.000 0.138 0.413 Sc
0.000 0.638 0.087 Sc
0.000 0.362 0.913 Sc
0.000 0.862 0.587 Sc
0.000 0.881 0.860 Sm
0.000 0.619 0.360 Sm
0.000 0.381 0.640 Sm
0.000 0.119 0.140 Sm
```

space-group type: No. 55
formation energy (no corrections): -0.450 eV per atom

# 8
VASP calculation (PBE) on an optimized crystal structure of Sm12Al3Zn.

POSCAR file:
```
Sm12Al3Zn
1.0
-4.608 -1.334 0.668
1.488 -4.251 1.781
0.382 7.578 17.773
Al Sm Zn
3 12 1
Direct
0.000 0.000 0.500 Al
0.000 0.000 0.249 Al
0.000 0.000 0.751 Al
0.000 0.500 0.125 Sm
0.000 0.500 0.875 Sm
0.000 0.500 0.626 Sm
0.500 0.000 0.125 Sm
0.500 0.500 0.000 Sm
0.500 0.500 0.248 Sm
0.500 0.500 0.500 Sm
0.500 0.000 0.626 Sm
0.500 0.000 0.875 Sm
0.000 0.500 0.374 Sm
0.500 0.000 0.374 Sm
0.500 0.500 0.752 Sm
0.000 0.000 0.000 Zn
```

space-group type: No. 123
formation energy from the elements: -2.2 eV/f.u.

# 9
VASP calculation (PBE) on an optimized crystal structure of CdInGa2.

POSCAR file:
```
CdInGa2
1.0
-1.492 0.913 4.706
-4.410 -1.768 1.623
-0.127 -3.727 3.361
Ga In Cd
2 1 1
Direct
0.750 0.750 0.750 Ga
0.250 0.250 0.250 Ga
0.500 0.500 0.500 In
0.000 0.000 0.000 Cd
```

space-group type: No. 225
offset from the most stable computed form: 10 meV/atom
formation energy from the elements: 0.3 eV/f.u.

# 10
VASP calculation (PBE) on an optimized crystal structure of CsSrSI2.

POSCAR file:
```
CsSrSI2
1.0
-5.860 -0.342 3.087
-3.251 -2.605 -6.461
1.334 -6.231 1.841
I S Sr Cs
2 1 1 1
Direct
0.500 0.000 0.000 I
0.000 0.000 0.500 I
0.500 0.500 0.500 S
0.000 0.500 0.000 Sr
0.000 0.000 0.000 Cs
```

space-group type: No. 123
formation energy (no corrections): 0.091 eV per atom

What is the formula in the third record?
KLi2CdCu